# VSbAuI2

A relaxed VSbAuI2 crystal (PBE, the Alexandria database).

Computed properties:
- formation energy without anion corrections (eV/atom) = 0.512
- polymorph energy (0 for the lowest one) (meV per atom) = 0

```
VSbAuI2
1.0
-3.542 3.235 1.956
-0.588 -3.119 4.095
3.934 2.715 2.633
I Sb Au V
2 1 1 1
Direct
0.000 0.500 0.000 I
0.500 0.000 0.000 I
0.000 0.000 0.500 Sb
0.500 0.500 0.500 Au
0.000 0.000 0.000 V
```